# 1
DFT (PBE) results for a relaxed structure of ReSiI2O.

Geometry as POSCAR:
```
ReSiI2O
1.0
5.565 0.000 0.000
0.000 5.565 0.000
0.000 0.000 3.767
Re Si I O
1 1 2 1
Cartesian
0.000 0.000 0.000
2.782 2.782 1.883
0.000 2.782 0.000
2.782 0.000 0.000
0.000 0.000 1.883
```

Calculated values
* Fermi-level density of states: 3.0 states/eV/cell
* ΔE_f (raw): 284 meV per atom
* distance to the lowest polymorph of the same formula: 0 meV per atom
* space group: P4/mmm, No. 123


# 2
DFT (PBE) results for a relaxed structure of ReSiI2O.

Geometry as POSCAR:
```
ReSiI2O
1.0
5.355 0.000 0.000
0.000 5.355 0.000
0.000 0.000 3.353
Re Si I O
1 1 2 1
Cartesian
0.000 0.000 0.000
2.678 2.678 1.677
0.000 2.678 1.677
2.678 0.000 1.677
2.678 2.678 0.000
```

Calculated values
* Fermi-level density of states: 3.7 states/eV/cell
* ΔE_f (raw): 636 meV per atom
* distance to the lowest polymorph of the same formula: 352 meV per atom
* space group: P4/mmm, No. 123


# 3
DFT (PBE) results for a relaxed structure of ReSnI2O.

Geometry as POSCAR:
```
ReSnI2O
1.0
6.185 0.000 0.000
0.000 6.185 0.000
0.000 0.000 4.048
Re Sn I O
1 1 2 1
Cartesian
0.000 0.000 0.000
3.093 3.093 2.024
0.000 3.093 2.024
3.093 0.000 2.024
3.093 3.093 0.000
```

Calculated values
* Fermi-level density of states: 1.7 states/eV/cell
* ΔE_f (raw): 837 meV per atom
* distance to the lowest polymorph of the same formula: 881 meV per atom
* space group: P4/mmm, No. 123


# 4
DFT (PBE) results for a relaxed structure of ReSnI2O.

Geometry as POSCAR:
```
ReSnI2O
1.0
5.699 0.000 0.000
0.000 5.699 0.000
0.000 0.000 3.801
Re Sn I O
1 1 2 1
Cartesian
0.000 0.000 0.000
2.850 2.850 1.900
0.000 2.850 0.000
2.850 0.000 0.000
0.000 0.000 1.900
```

Calculated values
* Fermi-level density of states: 1.9 states/eV/cell
* ΔE_f (raw): -45 meV per atom
* distance to the lowest polymorph of the same formula: 0 meV per atom
* space group: P4/mmm, No. 123


# 5
DFT (PBE) results for a relaxed structure of SrReIO4.

Geometry as POSCAR:
```
SrReIO4
1.0
5.791 -3.806 0.000
5.791 3.806 0.000
-4.174 0.000 8.741
Sr Re I O
2 2 2 8
Cartesian
1.579 0.000 1.753
5.830 0.000 6.989
1.665 0.000 6.030
5.744 0.000 2.711
-2.407 0.000 7.274
9.816 0.000 1.467
0.819 1.425 6.593
1.716 0.000 4.277
4.111 0.000 2.071
6.590 1.425 2.149
0.819 -1.425 6.593
3.297 0.000 6.670
5.693 0.000 4.464
6.590 -1.425 2.149
```

Calculated values
* Fermi-level density of states: 0.0 states/eV/cell
* ΔE_f (raw): -1957 meV per atom
* space group: C2/m, No. 12


# 6
DFT (PBE) results for a relaxed structure of TaReI2O.

Geometry as POSCAR:
```
TaReI2O
1.0
5.805 0.000 0.000
0.000 5.805 0.000
0.000 0.000 3.886
Ta Re I O
1 1 2 1
Cartesian
0.000 0.000 0.000
2.902 2.902 1.943
0.000 2.902 0.000
2.902 0.000 0.000
0.000 0.000 1.943
```

Calculated values
* Fermi-level density of states: 1.9 states/eV/cell
* ΔE_f (raw): 580 meV per atom
* distance to the lowest polymorph of the same formula: 0 meV per atom
* space group: P4/mmm, No. 123


# 7
DFT (PBE) results for a relaxed structure of TaReIO2.

Geometry as POSCAR:
```
TaReIO2
1.0
3.920 0.000 0.000
0.000 3.920 0.000
0.000 0.000 6.292
Ta Re I O
1 1 1 2
Cartesian
0.000 0.000 0.000
1.960 1.960 3.146
0.000 0.000 3.146
0.000 1.960 0.000
1.960 0.000 0.000
```

Calculated values
* Fermi-level density of states: 3.9 states/eV/cell
* ΔE_f (raw): -237 meV per atom
* distance to the lowest polymorph of the same formula: 0 meV per atom
* space group: P4/mmm, No. 123


# 8
DFT (PBE) results for a relaxed structure of TaReIO2.

Geometry as POSCAR:
```
TaReIO2
1.0
3.859 0.000 0.000
0.000 3.859 0.000
0.000 0.000 6.513
Ta Re I O
1 1 1 2
Cartesian
0.000 0.000 0.000
1.929 1.929 3.257
1.929 1.929 0.000
0.000 1.929 3.257
1.929 0.000 3.257
```

Calculated values
* Fermi-level density of states: 5.7 states/eV/cell
* ΔE_f (raw): 277 meV per atom
* distance to the lowest polymorph of the same formula: 514 meV per atom
* space group: P4/mmm, No. 123


# 9
DFT (PBE) results for a relaxed structure of TaReI2O.

Geometry as POSCAR:
```
TaReI2O
1.0
5.544 0.000 0.000
0.000 5.544 0.000
0.000 0.000 3.713
Ta Re I O
1 1 2 1
Cartesian
0.000 0.000 0.000
2.772 2.772 1.857
0.000 2.772 1.857
2.772 0.000 1.857
2.772 2.772 0.000
```

Calculated values
* Fermi-level density of states: 2.2 states/eV/cell
* ΔE_f (raw): 682 meV per atom
* distance to the lowest polymorph of the same formula: 101 meV per atom
* space group: P4/mmm, No. 123


# 10
DFT (PBE) results for a relaxed structure of ReTcIO2.

Geometry as POSCAR:
```
ReTcIO2
1.0
3.829 0.000 0.000
0.000 3.829 0.000
0.000 0.000 6.178
Re Tc I O
1 1 1 2
Cartesian
0.000 0.000 0.000
1.914 1.914 3.089
0.000 0.000 3.089
0.000 1.914 0.000
1.914 0.000 0.000
```

Calculated values
* Fermi-level density of states: 3.8 states/eV/cell
* ΔE_f (raw): 54 meV per atom
* distance to the lowest polymorph of the same formula: 0 meV per atom
* space group: P4/mmm, No. 123


# 11
DFT (PBE) results for a relaxed structure of ReTcIO2.

Geometry as POSCAR:
```
ReTcIO2
1.0
3.831 0.000 0.000
0.000 3.831 0.000
0.000 0.000 6.206
Re Tc I O
1 1 1 2
Cartesian
0.000 0.000 0.000
1.916 1.916 3.103
1.916 1.916 0.000
0.000 1.916 3.103
1.916 0.000 3.103
```

Calculated values
* Fermi-level density of states: 3.0 states/eV/cell
* ΔE_f (raw): 422 meV per atom
* distance to the lowest polymorph of the same formula: 368 meV per atom
* space group: P4/mmm, No. 123


# 12
DFT (PBE) results for a relaxed structure of ReTcI2O.

Geometry as POSCAR:
```
ReTcI2O
1.0
5.611 0.000 0.000
0.000 5.611 0.000
0.000 0.000 3.746
Re Tc I O
1 1 2 1
Cartesian
0.000 0.000 0.000
2.805 2.805 1.873
0.000 2.805 0.000
2.805 0.000 0.000
0.000 0.000 1.873
```

Calculated values
* Fermi-level density of states: 3.5 states/eV/cell
* ΔE_f (raw): 630 meV per atom
* distance to the lowest polymorph of the same formula: 0 meV per atom
* space group: P4/mmm, No. 123